# 1
Density functional theory data (PBE) for La2SBr3 after structural relaxation. Values from VASP.

Uncorrected formation energy (meV/atom): -1964.9
Final energy (eV/cell): -61.58
Symmetry: C2/m (12)
Total moment (μB per atom): 0.0000
DOS(E_F) (states/eV per cell): 1.87

Geometry as Quantum ESPRESSO input:
```
&SYSTEM
  ibrav = 0, nat = 12, ntyp = 3
/
ATOMIC_SPECIES
Br 79.90 Br.upf
S 32.06 S.upf
La 138.91 La.upf
CELL_PARAMETERS angstrom
4.6617 0.0000 0.0000
2.3309 8.3866 0.4554
2.3309 2.4014 10.6184
ATOMIC_POSITIONS crystal
Br 0.9452 0.8680 0.2417
Br 0.3402 0.3076 0.0119
Br 0.7712 0.8471 0.6105
Br 0.0548 0.1320 0.7583
Br 0.6598 0.6924 0.9881
Br 0.2288 0.1529 0.3895
S 0.5916 0.4903 0.3266
S 0.4084 0.5097 0.6734
La 0.8610 0.4689 0.8091
La 0.5975 0.2465 0.5585
La 0.1390 0.5311 0.1909
La 0.4025 0.7535 0.4415
```

=====

# 2
Density functional theory data (PBE) for LaSBr2 after structural relaxation. Values from VASP.

Uncorrected formation energy (meV/atom): -1385.5
Final energy (eV/cell): -17.94
Symmetry: P1 (1)
Total moment (μB per atom): 0.0000
DOS(E_F) (states/eV per cell): 0.86

Geometry as Quantum ESPRESSO input:
```
&SYSTEM
  ibrav = 0, nat = 4, ntyp = 3
/
ATOMIC_SPECIES
Br 79.90 Br.upf
S 32.06 S.upf
La 138.91 La.upf
CELL_PARAMETERS angstrom
4.8865 -0.0043 -0.0076
-0.1882 5.1978 0.0070
-2.3222 -1.2583 4.9385
ATOMIC_POSITIONS crystal
Br 0.5804 0.0471 0.5209
Br 0.9963 0.4986 0.2264
S 0.4622 0.9441 0.9687
La 0.2470 0.3872 0.8014
```

=====

# 3
Density functional theory data (PBE) for LaS4Br2 after structural relaxation. Values from VASP.

Uncorrected formation energy (meV/atom): -65.1
Final energy (eV/cell): -25.24
Symmetry: I4/mmm (139)
Total moment (μB per atom): 0.2067
DOS(E_F) (states/eV per cell): 7.88

Geometry as Quantum ESPRESSO input:
```
&SYSTEM
  ibrav = 0, nat = 7, ntyp = 3
/
ATOMIC_SPECIES
S 32.06 S.upf
La 138.91 La.upf
Br 79.90 Br.upf
CELL_PARAMETERS angstrom
-1.0519 3.7694 4.1092
-4.0122 -3.4157 2.1061
2.1429 -2.8593 7.0895
ATOMIC_POSITIONS crystal
S 0.0000 0.5000 0.0000
S 0.7926 0.7926 0.4149
S 0.2074 0.2074 0.5851
S 0.5000 0.0000 0.0000
La 0.0000 0.0000 0.0000
Br 0.6376 0.6376 0.7249
Br 0.3624 0.3624 0.2751
```

=====

# 4
Density functional theory data (PBE) for LaSBr2 after structural relaxation. Values from VASP.

Uncorrected formation energy (meV/atom): -1450.8
Final energy (eV/cell): -18.20
Symmetry: P-1 (2)
Total moment (μB per atom): 0.0000
DOS(E_F) (states/eV per cell): 1.53

Geometry as Quantum ESPRESSO input:
```
&SYSTEM
  ibrav = 0, nat = 4, ntyp = 3
/
ATOMIC_SPECIES
S 32.06 S.upf
Br 79.90 Br.upf
La 138.91 La.upf
CELL_PARAMETERS angstrom
-0.4256 0.3120 -3.8537
0.3958 -4.5033 -0.4075
-7.4477 0.2108 0.8697
ATOMIC_POSITIONS crystal
S 0.5000 0.0000 0.5000
Br 0.4979 0.3400 0.1824
Br 0.5021 0.6600 0.8176
La 0.0000 0.5000 0.5000
```

=====

# 5
Density functional theory data (PBE) for LaS2Br after structural relaxation. Values from VASP.

Uncorrected formation energy (meV/atom): -1254.8
Final energy (eV/cell): -19.87
Symmetry: R-3m (166)
Total moment (μB per atom): 0.0000
DOS(E_F) (states/eV per cell): 0.00

Geometry as Quantum ESPRESSO input:
```
&SYSTEM
  ibrav = 0, nat = 4, ntyp = 3
/
ATOMIC_SPECIES
La 138.91 La.upf
S 32.06 S.upf
Br 79.90 Br.upf
CELL_PARAMETERS angstrom
2.5844 0.0000 7.6013
-1.2922 2.2382 7.6013
-1.2922 -2.2382 7.6013
ATOMIC_POSITIONS crystal
La 0.5000 0.5000 0.5000
S 0.8913 0.8913 0.8913
S 0.1087 0.1087 0.1087
Br 0.0000 0.0000 0.0000
```

=====

# 6
Density functional theory data (PBE) for La2SBr after structural relaxation. Values from VASP.

Uncorrected formation energy (meV/atom): -1633.3
Final energy (eV/cell): -44.38
Symmetry: Pmmn (59)
Total moment (μB per atom): 0.0000
DOS(E_F) (states/eV per cell): 4.95

Geometry as Quantum ESPRESSO input:
```
&SYSTEM
  ibrav = 0, nat = 8, ntyp = 3
/
ATOMIC_SPECIES
La 138.91 La.upf
S 32.06 S.upf
Br 79.90 Br.upf
CELL_PARAMETERS angstrom
-3.4916 1.4729 -0.6810
-3.1931 -7.6760 -0.2307
-1.1798 0.2901 6.6769
ATOMIC_POSITIONS crystal
La 0.2500 0.4913 0.2288
La 0.2500 0.0087 0.2288
La 0.7500 0.9913 0.7712
La 0.7500 0.5087 0.7712
S 0.2500 0.7500 0.9244
S 0.7500 0.2500 0.0756
Br 0.2500 0.2500 0.5864
Br 0.7500 0.7500 0.4136
```

=====

# 7
Density functional theory data (PBE) for LaS2Br2 after structural relaxation. Values from VASP.

Uncorrected formation energy (meV/atom): -1409.1
Final energy (eV/cell): -47.15
Symmetry: C2/m (12)
Total moment (μB per atom): 0.0000

Geometry as Quantum ESPRESSO input:
```
&SYSTEM
  ibrav = 0, nat = 10, ntyp = 3
/
ATOMIC_SPECIES
Br 79.90 Br.upf
S 32.06 S.upf
La 138.91 La.upf
CELL_PARAMETERS angstrom
6.9541 0.5072 3.7811
1.5101 7.8060 0.8211
0.0680 0.2536 8.1603
ATOMIC_POSITIONS crystal
Br 0.0119 0.2566 0.5507
Br 0.5626 0.2566 0.4493
Br 0.9881 0.7434 0.4493
Br 0.4374 0.7434 0.5507
S 0.2250 0.4437 0.0000
S 0.9197 0.7232 0.0000
S 0.7750 0.5563 0.0000
S 0.0803 0.2768 0.0000
La 0.1718 0.5000 0.6564
La 0.8282 0.5000 0.3436
```

=====

# 8
Density functional theory data (PBE) for La2SBr after structural relaxation. Values from VASP.

Uncorrected formation energy (meV/atom): -1753.4
Final energy (eV/cell): -22.67
Symmetry: R-3m (166)
Total moment (μB per atom): 0.0000
DOS(E_F) (states/eV per cell): 2.26

Geometry as Quantum ESPRESSO input:
```
&SYSTEM
  ibrav = 0, nat = 4, ntyp = 3
/
ATOMIC_SPECIES
Br 79.90 Br.upf
La 138.91 La.upf
S 32.06 S.upf
CELL_PARAMETERS angstrom
-0.2429 -2.4678 -3.2838
3.3915 -0.9098 -2.1454
2.2233 -7.0579 2.5614
ATOMIC_POSITIONS crystal
Br 0.5000 0.5000 0.5000
La 0.7373 0.7373 0.7882
La 0.2627 0.2627 0.2118
S 0.0000 0.0000 0.0000
```

=====

> The highest total moment belongs to which entry?

LaS4Br2